Computed, not measured: a geometry-optimized AcNbPbO6 structure at the PBE level of DFT.

Computed properties:
- E_form (uncorrected): -2.26 eV/atom
- Total magnetic moment: 0.0 μB/cell
- N(E_F): 0.0 states/eV/cell

abc: 5.5927 5.5927 10.6621
angles: 90.00 90.00 120.00
Atoms (fractional coordinates):
Ac 0.0000 0.0000 0.0000
Ac 0.0000 0.0000 0.5000
Nb 0.3333 0.6667 0.2500
Nb 0.6667 0.3333 0.7500
Pb 0.3333 0.6667 0.7500
Pb 0.6667 0.3333 0.2500
O 0.0229 0.3813 0.1415
O 0.0229 0.6417 0.3585
O 0.3583 0.3813 0.3585
O 0.3583 0.9771 0.1415
O 0.3813 0.0229 0.6415
O 0.3813 0.3583 0.8585
O 0.6187 0.6417 0.1415
O 0.6187 0.9771 0.3585
O 0.6417 0.0229 0.8585
O 0.6417 0.6187 0.6415
O 0.9771 0.3583 0.6415
O 0.9771 0.6187 0.8585